Record 1
Below is SrCuO3 after structural relaxation, with properties calculated at the PBEsol level.

Results
total magnetic moment: 0.82 μB per cell
VASP energy: -85.798 eV per cell
crystal system: orthorhombic
symmetry: Pmmm, No. 47

Unit cell a=3.7969 b=5.3143 c=8.3979 alpha=90.00 beta=90.00 gamma=90.00
With the nearest neighbours (Å) after each atom.
Positions (direct):
Sr (0.5000, 0.5000, 0.3047)  11 O 2.56-2.84
O (0.5000, 0.5000, 0.0000)  2 Cu 1.90
Cu (0.0000, 0.0000, 0.3344)  6 O 1.91-1.93
O (0.5000, 0.0000, 0.3077)  2 Cu 1.91
O (0.0000, 0.2508, 0.5000)  2 Cu 1.93
O (0.5000, 0.0000, 0.6923)  2 Cu 1.91
O (0.0000, 0.7497, 0.1691)  2 Cu 1.92-1.94
Cu (0.0000, 0.5000, 0.0000)  6 O 1.90-1.94
O (0.0000, 0.2503, 0.8309)  2 Cu 1.92-1.94
O (0.0000, 0.7492, 0.5000)  2 Cu 1.93
Sr (0.5000, 0.5000, 0.6953)  11 O 2.56-2.84
Cu (0.0000, 0.0000, 0.6656)  6 O 1.91-1.93
O (0.0000, 0.7497, 0.8309)  2 Cu 1.92-1.94
Sr (0.5000, 0.0000, 0.0000)  12 O 2.58-2.72
O (0.0000, 0.2503, 0.1691)  2 Cu 1.92-1.94


Record 2
Below is SrCuO3 after structural relaxation, with properties calculated at the PBEsol level.

Results
total magnetic moment: 0.00 μB per cell
VASP energy: -28.812 eV per cell
crystal system: cubic
symmetry: Pm-3m, No. 221

Unit cell a=3.8253 b=3.8253 c=3.8253 alpha=90.00 beta=90.00 gamma=90.00
With the nearest neighbours (Å) after each atom.
Positions (direct):
Sr (0.5000, 0.5000, 0.5000)  12 O 2.70
O (0.0000, 0.0000, 0.5000)  2 Cu 1.91
Cu (0.0000, 0.0000, 0.0000)  6 O 1.91
O (0.5000, 0.0000, 0.0000)  2 Cu 1.91
O (0.0000, 0.5000, 0.0000)  2 Cu 1.91


Record 3
Below is SrCuTe2O7 after structural relaxation, with properties calculated at the PBEsol level.

Results
total magnetic moment: 3.83 μB per cell
VASP energy: -260.959 eV per cell
crystal system: orthorhombic
symmetry: Pbcm, No. 57

Unit cell a=5.4428 b=7.1316 c=15.1176 alpha=90.00 beta=90.00 gamma=90.00
With the nearest neighbours (Å) after each atom.
Positions (direct):
O (0.5097, 0.5455, 0.9027)  1 Te 1.89, 1 Cu 1.93
O (0.5000, 0.1147, 0.7500)  2 Te 2.00
O (0.5018, 0.0722, 0.4120)  1 Te 1.92, 1 Cu 1.92
Te (0.2500, 0.4899, 0.8241)  3 O 1.89-2.06
O (0.5097, 0.4545, 0.4027)  1 Te 1.89, 1 Cu 1.93
Sr (0.7500, 0.7664, 0.4606)  8 O 2.63-2.91
Te (0.2500, 0.9981, 0.8298)  6 O 1.92-2.00
Cu (0.7500, 0.2573, 0.3886)  4 O 1.92-1.93
O (0.7500, 0.2387, 0.6083)  2 Te 1.95-2.06
O (0.5018, 0.9278, 0.9120)  1 Te 1.92, 1 Cu 1.92
O (0.7500, 0.2380, 0.2317)  2 Te 1.92-2.12
O (0.4903, 0.5455, 0.5973)  1 Te 1.89, 1 Cu 1.93
Sr (0.7500, 0.2336, 0.9606)  8 O 2.63-2.91
Te (0.7500, 0.5101, 0.1759)  3 O 1.89-2.06
Te (0.2500, 0.5101, 0.3241)  3 O 1.89-2.06
O (0.9903, 0.4545, 0.4027)  1 Te 1.89, 1 Cu 1.93
O (0.0000, 0.8853, 0.2500)  2 Te 2.00
O (0.0018, 0.9278, 0.5880)  1 Te 1.92, 1 Cu 1.92
O (0.0018, 0.0722, 0.0880)  1 Te 1.92, 1 Cu 1.92
Te (0.7500, 0.9981, 0.6702)  6 O 1.92-2.00
Te (0.7500, 0.4899, 0.6759)  3 O 1.89-2.06
O (0.4982, 0.9278, 0.5880)  1 Te 1.92, 1 Cu 1.92
Cu (0.7500, 0.7427, 0.8886)  4 O 1.92-1.93
O (0.5000, 0.8853, 0.2500)  2 Te 2.00
O (0.0097, 0.4545, 0.0973)  1 Te 1.89, 1 Cu 1.93
O (0.0000, 0.1147, 0.7500)  2 Te 2.00
Cu (0.2500, 0.2573, 0.1114)  4 O 1.92-1.93
O (0.2500, 0.2380, 0.2683)  2 Te 1.92-2.12
Te (0.2500, 0.0019, 0.3298)  6 O 1.92-2.00
Te (0.7500, 0.0019, 0.1702)  6 O 1.92-2.00
O (0.4903, 0.4545, 0.0973)  1 Te 1.89, 1 Cu 1.93
O (0.2500, 0.7613, 0.3917)  2 Te 1.95-2.06
Sr (0.2500, 0.7664, 0.0394)  8 O 2.63-2.91
O (0.2500, 0.7620, 0.7683)  2 Te 1.92-2.12
Cu (0.2500, 0.7427, 0.6114)  4 O 1.92-1.93
O (0.9982, 0.9278, 0.9120)  1 Te 1.92, 1 Cu 1.92
O (0.9982, 0.0722, 0.4120)  1 Te 1.92, 1 Cu 1.92
O (0.2500, 0.2387, 0.8917)  2 Te 1.95-2.06
O (0.9903, 0.5455, 0.9027)  1 Te 1.89, 1 Cu 1.93
Sr (0.2500, 0.2336, 0.5394)  8 O 2.63-2.91
O (0.0097, 0.5455, 0.5973)  1 Te 1.89, 1 Cu 1.93
O (0.7500, 0.7620, 0.7317)  2 Te 1.92-2.12
O (0.4982, 0.0722, 0.0880)  1 Te 1.92, 1 Cu 1.92
O (0.7500, 0.7613, 0.1083)  2 Te 1.95-2.06


Record 4
Below is Sr6YTl3Cu6O21 after structural relaxation, with properties calculated at the PBEsol level.

Results
total magnetic moment: 0.95 μB per cell
VASP energy: -216.079 eV per cell
crystal system: orthorhombic
symmetry: Pmmm, No. 47

Unit cell a=3.6351 b=10.8834 c=12.4978 alpha=90.00 beta=90.00 gamma=90.00
With the nearest neighbours (Å) after each atom.
Positions (direct):
Sr (0.5000, 0.1668, 0.2056)  8 O 2.52-2.64
O (0.0000, 0.8397, 0.6543)  2 Cu 1.78-1.81
O (0.0000, 0.0000, 0.8375)  1 Tl 2.03
Sr (0.5000, 0.8332, 0.2056)  8 O 2.52-2.64
Tl (0.0000, 0.3346, 0.0000)  2 O 2.10
O (0.5000, 0.5000, 0.0000)  4 Tl 2.56, 2 Sr 2.61
Tl (0.0000, 0.6654, 0.0000)  2 O 2.10
O (0.0000, 0.3374, 0.8317)  1 Tl 2.10
Sr (0.5000, 0.5000, 0.7911)  9 O 2.59-2.87
Sr (0.5000, 0.1668, 0.7944)  8 O 2.52-2.64
O (0.5000, 0.3441, 0.3714)  2 Cu 1.84
Cu (0.0000, 0.3200, 0.6232)  4 O 1.78-1.96
O (0.5000, 0.1743, 0.0000)  4 Tl 2.52-2.63, 2 Sr 2.57
Cu (0.0000, 0.0000, 0.6146)  4 O 1.81-1.85
O (0.5000, 0.8257, 0.0000)  4 Tl 2.52-2.63, 2 Sr 2.57
O (0.5000, 0.6559, 0.3714)  2 Cu 1.84
O (0.0000, 0.8397, 0.3457)  2 Cu 1.78-1.81
O (0.5000, 0.6559, 0.6286)  2 Cu 1.84
Cu (0.0000, 0.0000, 0.3854)  4 O 1.81-1.85
Sr (0.5000, 0.8332, 0.7944)  8 O 2.52-2.64
Y (0.5000, 0.5000, 0.5000)  8 O 2.31-2.34
Cu (0.0000, 0.6800, 0.3768)  4 O 1.78-1.96
O (0.0000, 0.5000, 0.3862)  2 Cu 1.96
Tl (0.0000, 0.0000, 0.0000)  2 O 2.03
O (0.0000, 0.6626, 0.1683)  1 Tl 2.10
O (0.5000, 0.0000, 0.3593)  2 Cu 1.85
O (0.0000, 0.5000, 0.6138)  2 Cu 1.96
Cu (0.0000, 0.3200, 0.3768)  4 O 1.78-1.96
O (0.5000, 0.0000, 0.6407)  2 Cu 1.85
O (0.0000, 0.1603, 0.6543)  2 Cu 1.78-1.81
O (0.0000, 0.1603, 0.3457)  2 Cu 1.78-1.81
O (0.0000, 0.0000, 0.1625)  1 Tl 2.03
O (0.5000, 0.3441, 0.6286)  2 Cu 1.84
Cu (0.0000, 0.6800, 0.6232)  4 O 1.78-1.96
O (0.0000, 0.3374, 0.1683)  1 Tl 2.10
Sr (0.5000, 0.5000, 0.2089)  9 O 2.59-2.87
O (0.0000, 0.6626, 0.8317)  1 Tl 2.10


Record 5
Below is Sr2CuWO6 after structural relaxation, with properties calculated at the PBEsol level.

Results
total magnetic moment: 0.81 μB per cell
VASP energy: -76.105 eV per cell
crystal system: tetragonal
symmetry: I4/m, No. 87

Unit cell a=5.3614 b=5.7125 c=5.3614 alpha=117.99 beta=90.00 gamma=117.99
With the nearest neighbours (Å) after each atom.
Positions (direct):
O (0.7003, 0.0000, 0.1963)  1 W 1.92, 1 Cu 1.95
O (0.8037, 0.0000, 0.7003)  1 W 1.92, 1 Cu 1.95
O (0.2997, 0.0000, 0.8037)  1 W 1.92, 1 Cu 1.95
O (0.2256, 0.4513, 0.2256)  1 W 1.93
O (0.7744, 0.5487, 0.7744)  1 W 1.93
W (0.0000, 0.0000, 0.0000)  6 O 1.92-1.93
Sr (0.2500, 0.5000, 0.7500)  8 O 2.61-2.69
Cu (0.5000, 0.0000, 0.5000)  4 O 1.95
Sr (0.7500, 0.5000, 0.2500)  8 O 2.61-2.69
O (0.1963, 0.0000, 0.2997)  1 W 1.92, 1 Cu 1.95


Record 6
Below is Sr8CuW3O18 after structural relaxation, with properties calculated at the PBEsol level.

Results
total magnetic moment: 2.04 μB per cell
VASP energy: -464.187 eV per cell
crystal system: triclinic
symmetry: P1, No. 1

Unit cell a=5.8667 b=10.2552 c=15.5870 alpha=109.05 beta=100.80 gamma=89.95
With the nearest neighbours (Å) after each atom.
Positions (direct):
W (0.3366, 0.9999, 0.6687)  6 O 1.90-1.97
Sr (0.3649, 0.3395, 0.7407)  6 O 2.43-2.64
O (0.6755, 0.6416, 0.7640)  1 Cu 1.90, 1 W 2.05
O (0.9547, 0.4182, 0.7509)  1 W 1.87
O (0.2928, 0.4169, 0.2331)  1 W 1.88
O (0.1928, 0.1178, 0.5985)  1 W 1.97
O (0.9694, 0.4083, 0.5697)  1 W 1.85
O (0.8801, 0.1167, 0.9285)  1 W 1.96
O (0.9454, 0.1202, 0.3770)  1 W 1.96
O (0.7790, 0.8790, 0.3982)  1 W 1.91
O (0.1493, 0.8860, 0.9044)  1 W 1.89
O (0.0531, 0.8870, 0.6245)  1 W 1.91
Sr (0.8798, 0.8556, 0.7506)  6 O 2.48-2.62
W (0.5086, 0.5022, 0.9988)  5 O 1.86-1.95
O (0.3773, 0.6353, 0.9235)  1 Cu 1.86
O (0.5349, 0.1295, 0.2696)  1 W 1.96
Cu (0.7407, 0.6621, 0.4846)  3 O 1.90
O (0.7265, 0.8867, 0.9510)  1 W 1.88
Sr (0.0459, 0.3354, 0.0696)  6 O 2.48-2.61
O (0.2873, 0.1252, 0.0417)  1 W 1.97
Sr (0.0774, 0.7340, 0.1617)  6 O 2.35-2.49
W (0.6609, 0.9984, 0.3311)  6 O 1.91-1.96
Sr (0.9531, 0.6341, 0.9050)  4 O 2.42-2.68
Sr (0.3030, 0.6600, 0.5978)  6 O 2.49-2.72
O (0.0325, 0.6257, 0.4479)  1 Cu 1.90, 1 W 2.05
Sr (0.5315, 0.8449, 0.0650)  6 O 2.43-2.58
O (0.4630, 0.8835, 0.5679)  1 W 1.91
O (0.6377, 0.3964, 0.0702)  1 W 1.86
O (0.5408, 0.4093, 0.6229)  1 W 1.85
O (0.7769, 0.6313, 0.0330)  1 W 1.93
W (0.1612, 0.5028, 0.3375)  6 O 1.87-2.05
O (0.2905, 0.3904, 0.4055)  1 W 1.88
O (0.1154, 0.6427, 0.7277)  1 Cu 1.91, 1 W 2.06
O (0.5582, 0.1178, 0.4412)  1 W 1.96
O (0.6153, 0.1251, 0.7031)  1 W 1.96
Sr (0.2042, 0.8491, 0.4195)  6 O 2.44-2.70
Cu (0.4025, 0.6686, 0.8149)  3 O 1.86-1.91
Sr (0.5834, 0.2527, 0.1662)  6 O 2.36-2.52
O (0.7394, 0.6416, 0.6013)  1 Cu 1.90, 1 W 1.99
O (0.7861, 0.8957, 0.2258)  1 W 1.91
O (0.0514, 0.6421, 0.2825)  1 W 1.95
O (0.1264, 0.8996, 0.0828)  1 W 1.92
W (0.0069, 0.9974, 0.9997)  6 O 1.88-1.98
O (0.4605, 0.8935, 0.7436)  1 W 1.90
Sr (0.9146, 0.2500, 0.8312)  6 O 2.38-2.49
O (0.2043, 0.4159, 0.9569)  1 W 1.89
O (0.4524, 0.6329, 0.3990)  1 Cu 1.90, 1 W 2.04
Sr (0.1156, 0.0856, 0.2408)  6 O 2.43-2.67
Sr (0.2506, 0.2458, 0.5012)  6 O 2.37-2.48
O (0.3669, 0.8935, 0.2882)  1 W 1.92
O (0.8902, 0.1279, 0.1043)  1 W 1.98
W (0.8297, 0.5054, 0.6663)  6 O 1.85-2.06
Sr (0.7816, 0.0376, 0.5633)  6 O 2.45-2.55
O (0.2321, 0.1262, 0.7760)  1 W 1.95
Sr (0.4588, 0.0559, 0.9021)  6 O 2.46-2.54
Sr (0.6243, 0.6448, 0.2667)  4 O 2.47-2.62
O (0.6211, 0.4019, 0.8917)  1 W 1.89
O (0.8705, 0.4052, 0.2945)  1 W 1.87
O (0.4097, 0.6341, 0.1051)  1 W 1.95
Sr (0.7052, 0.3375, 0.4116)  6 O 2.48-2.62


Number 1: DOS(E_F) 11.35 states/eV per cell, formation energy (no corrections) -129 kJ/mol of atoms. Number 2: DOS(E_F) 3.59 states/eV per cell, formation energy (no corrections) -133 kJ/mol of atoms. Number 3: DOS(E_F) 3.82 states/eV per cell, formation energy (no corrections) -134 kJ/mol of atoms. Number 4: DOS(E_F) 13.37 states/eV per cell, formation energy (no corrections) -141 kJ/mol of atoms. Number 5: DOS(E_F) 1.92 states/eV per cell, formation energy (no corrections) -220 kJ/mol of atoms. Number 6: DOS(E_F) 5.55 states/eV per cell, formation energy (no corrections) -248 kJ/mol of atoms.